1.
CdBi2P: relaxed, PBE.

Theoretical density in g cm⁻³: 9.2
Energy in eV per formula unit: -12.74
Distance to the lowest polymorph of the same formula in eV per formula unit: 0.23
Space-group type: No. 225

Cell and atoms, written as POSCAR:
```
CdBi2P
1.0
7.401 0.000 0.000
0.000 7.401 0.000
0.000 0.000 7.401
Cd Bi P
4 8 4
direct
0.000 0.000 0.000
0.000 0.500 0.500
0.500 0.000 0.500
0.500 0.500 0.000
0.250 0.250 0.250
0.250 0.250 0.750
0.250 0.750 0.250
0.250 0.750 0.750
0.750 0.250 0.250
0.750 0.250 0.750
0.750 0.750 0.250
0.750 0.750 0.750
0.000 0.000 0.500
0.000 0.500 0.000
0.500 0.000 0.000
0.500 0.500 0.500
```

***

2.
SrSbMo4: relaxed, PBE.

Theoretical density in g cm⁻³: 8.4
Energy in eV per formula unit: -45.73
ΔE_f (raw) in kJ per mole of atoms: 54.7
Space-group type: No. 216

Cell and atoms, written as POSCAR:
```
SrSbMo4
1.0
0.000 3.888 3.888
3.888 0.000 3.888
3.888 3.888 0.000
Sr Sb Mo
1 1 4
direct
0.000 0.000 0.000
0.250 0.250 0.250
0.128 0.624 0.624
0.624 0.128 0.624
0.624 0.624 0.128
0.624 0.624 0.624
```

***

3.
Cd3SnMo: relaxed, PBE.

Theoretical density in g cm⁻³: 6.3
Energy in eV per formula unit: -12.69
Distance to the lowest polymorph of the same formula in eV per formula unit: 0.00
Space-group type: No. 221

Cell and atoms, written as POSCAR:
```
Cd3SnMo
1.0
5.273 0.000 0.000
0.000 5.273 0.000
0.000 0.000 5.273
Cd Sn Mo
3 1 1
direct
0.000 0.000 0.500
0.000 0.500 0.000
0.500 0.000 0.000
0.500 0.500 0.500
0.000 0.000 0.000
```

***

4.
HfHgAsBr2: relaxed, PBE.

Theoretical density in g cm⁻³: 6.9
Energy in eV per formula unit: -20.37
Distance to the lowest polymorph of the same formula in eV per formula unit: 0.00
ΔE_f (raw) in kJ per mole of atoms: -40.9
Space-group type: No. 123

Cell and atoms, written as POSCAR:
```
HfHgAsBr2
1.0
5.293 0.000 0.000
0.000 5.293 0.000
0.000 0.000 5.304
Hf Hg As Br
1 1 1 2
direct
0.000 0.000 0.000
0.500 0.500 0.500
0.000 0.000 0.500
0.000 0.500 0.000
0.500 0.000 0.000
```

***

5.
Sm2B2S5: relaxed, PBE.

Theoretical density in g cm⁻³: 3.9
Energy in eV per formula unit: -51.79
ΔE_f (raw) in kJ per mole of atoms: -89.6
Space-group type: No. 12

Cell and atoms, written as POSCAR:
```
Sm2B2S5
1.0
7.814 -1.836 0.000
7.814 1.836 0.000
-2.469 0.000 7.181
Sm B S
2 2 5
direct
0.131 0.131 0.015
0.869 0.869 0.985
0.295 0.295 0.440
0.705 0.705 0.560
0.169 0.169 0.424
0.321 0.321 0.216
0.500 0.500 0.000
0.679 0.679 0.784
0.831 0.831 0.576
```

***

6.
Nd8Ge3AsBr4: relaxed, PBE.

Theoretical density in g cm⁻³: 6.3
Energy in eV per formula unit: -82.95
ΔE_f (raw) in kJ per mole of atoms: -118.3
Space-group type: No. 166

Cell and atoms, written as POSCAR:
```
Nd8Ge3AsBr4
1.0
4.294 2.479 7.309
-4.294 2.479 7.309
0.000 -4.959 7.309
Nd Ge As Br
8 3 1 4
direct
0.235 0.738 0.738
0.238 0.238 0.238
0.262 0.262 0.765
0.262 0.765 0.262
0.738 0.235 0.738
0.738 0.738 0.235
0.762 0.762 0.762
0.765 0.262 0.262
0.000 0.000 0.500
0.000 0.500 0.000
0.500 0.000 0.000
0.500 0.500 0.500
0.000 0.000 0.000
0.000 0.500 0.500
0.500 0.000 0.500
0.500 0.500 0.000
```

***

7.
Sr12InPd6: relaxed, PBE.

Theoretical density in g cm⁻³: 4.5
Energy in eV per formula unit: -62.44
Space-group type: No. 204

Cell and atoms, written as POSCAR:
```
Sr12InPd6
1.0
-5.512 5.512 5.512
5.512 -5.512 5.512
5.512 5.512 -5.512
Sr In Pd
12 1 6
direct
0.129 0.309 0.820
0.180 0.489 0.309
0.180 0.871 0.691
0.309 0.180 0.489
0.309 0.820 0.129
0.489 0.309 0.180
0.511 0.691 0.820
0.691 0.180 0.871
0.691 0.820 0.511
0.820 0.129 0.309
0.820 0.511 0.691
0.871 0.691 0.180
0.000 0.000 0.000
0.123 0.500 0.623
0.377 0.877 0.500
0.500 0.377 0.877
0.500 0.623 0.123
0.623 0.123 0.500
0.877 0.500 0.377
```

***

8.
Ho4IrPd2: relaxed, PBE.

Theoretical density in g cm⁻³: 10.9
Energy in eV per formula unit: -43.14
Distance to the lowest polymorph of the same formula in eV per formula unit: 0.00
Space-group type: No. 5

Cell and atoms, written as POSCAR:
```
Ho4IrPd2
1.0
6.135 -4.324 0.000
6.135 4.324 0.000
-6.094 0.000 6.136
Ho Ir Pd
8 2 4
direct
0.068 0.068 0.258
0.312 0.551 0.621
0.448 0.189 0.879
0.449 0.688 0.379
0.569 0.068 0.259
0.811 0.552 0.121
0.932 0.431 0.741
0.932 0.932 0.742
0.565 0.185 0.625
0.815 0.435 0.375
0.070 0.930 0.500
0.191 0.310 0.121
0.311 0.689 0.000
0.690 0.809 0.879
```

***

9.
TlRu2PbBr: relaxed, PBE.

Theoretical density in g cm⁻³: 7.6
Energy in eV per formula unit: -18.63
ΔE_f (raw) in kJ per mole of atoms: 148.1
Space-group type: No. 123

Cell and atoms, written as POSCAR:
```
TlRu2PbBr
1.0
5.117 0.000 0.000
0.000 5.117 0.000
0.000 0.000 5.792
Tl Ru Pb Br
1 2 1 1
direct
0.000 0.000 0.000
0.000 0.500 0.000
0.500 0.000 0.000
0.500 0.500 0.500
0.000 0.000 0.500
```

***

10.
Ac2Te2F3: relaxed, PBE.

Theoretical density in g cm⁻³: 7.2
Energy in eV per formula unit: -39.62
ΔE_f (raw) in kJ per mole of atoms: -268.9
Space-group type: No. 12

Cell and atoms, written as POSCAR:
```
Ac2Te2F3
1.0
12.272 0.000 0.000
0.000 4.173 0.000
-3.951 0.000 6.941
Ac Te F
4 4 6
direct
0.159 0.000 0.232
0.341 0.500 0.768
0.659 0.500 0.232
0.841 0.000 0.768
0.126 0.000 0.775
0.374 0.500 0.225
0.626 0.500 0.775
0.874 0.000 0.225
0.000 0.500 0.000
0.174 0.500 0.415
0.326 0.000 0.585
0.500 0.000 0.000
0.674 0.000 0.415
0.826 0.500 0.585
```

***

11.
Rb2ZrAgI6: relaxed, PBE.

Theoretical density in g cm⁻³: 4.4
Energy in eV per formula unit: -31.85
ΔE_f (raw) in kJ per mole of atoms: -88.9
Space-group type: No. 225

Cell and atoms, written as POSCAR:
```
Rb2ZrAgI6
1.0
0.000 5.963 5.963
5.963 0.000 5.963
5.963 5.963 0.000
Rb Zr Ag I
2 1 1 6
direct
0.250 0.250 0.250
0.750 0.750 0.750
0.000 0.000 0.000
0.500 0.500 0.500
0.246 0.246 0.754
0.246 0.754 0.246
0.246 0.754 0.754
0.754 0.246 0.246
0.754 0.246 0.754
0.754 0.754 0.246
```

***

12.
Eu3Ga5Cl12: relaxed, PBE.

Theoretical density in g cm⁻³: 3.3
Energy in eV per formula unit: -95.66
ΔE_f (raw) in kJ per mole of atoms: -132.9
Space-group type: No. 230

Cell and atoms, written as POSCAR:
```
Eu3Ga5Cl12
1.0
-8.491 8.491 8.491
8.491 -8.491 8.491
8.491 8.491 -8.491
Eu Ga Cl
12 20 48
direct
0.125 0.250 0.375
0.125 0.375 0.750
0.250 0.375 0.125
0.250 0.875 0.625
0.375 0.125 0.250
0.375 0.750 0.125
0.625 0.250 0.875
0.625 0.875 0.750
0.750 0.125 0.375
0.750 0.625 0.875
0.875 0.625 0.250
0.875 0.750 0.625
0.000 0.000 0.000
0.000 0.000 0.500
0.000 0.500 0.000
0.000 0.500 0.500
0.125 0.750 0.875
0.125 0.875 0.250
0.250 0.125 0.875
0.250 0.625 0.375
0.375 0.250 0.625
0.375 0.625 0.750
0.500 0.000 0.000
0.500 0.000 0.500
0.500 0.500 0.000
0.500 0.500 0.500
0.625 0.375 0.250
0.625 0.750 0.375
0.750 0.375 0.625
0.750 0.875 0.125
0.875 0.125 0.750
0.875 0.250 0.125
0.058 0.230 0.134
0.058 0.329 0.924
0.076 0.634 0.404
0.076 0.942 0.671
0.096 0.730 0.671
0.096 0.866 0.424
0.134 0.058 0.230
0.134 0.576 0.904
0.171 0.230 0.596
0.171 0.442 0.576
0.230 0.134 0.058
0.230 0.596 0.171
0.270 0.329 0.904
0.270 0.442 0.366
0.329 0.904 0.270
0.329 0.924 0.058
0.366 0.270 0.442
0.366 0.596 0.924
0.404 0.076 0.634
0.404 0.829 0.770
0.424 0.096 0.866
0.424 0.829 0.558
0.442 0.366 0.270
0.442 0.576 0.171
0.558 0.424 0.829
0.558 0.634 0.730
0.576 0.171 0.442
0.576 0.904 0.134
0.596 0.171 0.230
0.596 0.924 0.366
0.634 0.404 0.076
0.634 0.730 0.558
0.671 0.076 0.942
0.671 0.096 0.730
0.730 0.558 0.634
0.730 0.671 0.096
0.770 0.404 0.829
0.770 0.866 0.942
0.829 0.558 0.424
0.829 0.770 0.404
0.866 0.424 0.096
0.866 0.942 0.770
0.904 0.134 0.576
0.904 0.270 0.329
0.924 0.058 0.329
0.924 0.366 0.596
0.942 0.671 0.076
0.942 0.770 0.866
```